(1)
A plane-wave DFT calculation with PBE-GGA was carried out for crystalline PrThMgCu at its relaxed geometry.

Cell: 7.466 7.466 7.466 Å, 90.00 90.00 90.00°
Space group F-43m (No. 216)
Asymmetric unit:
Pr  0.000  0.000  0.000
Th  0.000  0.000  0.500
Mg  0.250  0.250  0.750
Cu  0.250  0.250  0.250

Summary:
The energy of formation is 0.3 eV per formula unit. For the total energy, the calculation gives -4.410 eV per atom.

---

(2)
A plane-wave DFT calculation with PBE-GGA was carried out for crystalline PrMg2Zn2Cu at its relaxed geometry.

Cell: 5.075 5.075 10.931 Å, 90.00 90.00 90.00°
Space group I4/mmm (No. 139)
Asymmetric unit:
Pr  0.000  0.000  0.000
Mg  0.000  0.500  0.250
Zn  0.000  0.000  0.288
Cu  0.000  0.000  0.500

Summary:
The energy of formation is 0.9 eV per formula unit. For the total energy, the calculation gives -2.287 eV per atom.

---

(3)
A plane-wave DFT calculation with PBE-GGA was carried out for crystalline Pr2MgZn12Cu3 at its relaxed geometry.

Cell: 7.9450 7.9450 22.1864 Å, 90.00 90.00 120.00°
Space group R-3m (No. 166, hexagonal axes)
Asymmetric unit:
Pr  0.0000  0.0000  0.1080
Mg  0.0000  0.0000  0.5000
Zn  0.0030  0.5015  0.3553
Zn  0.0956  0.5478  0.8917
Cu  0.0000  0.5000  0.0000

Summary:
The energy of formation is 3.9 eV per formula unit. For the total energy, the calculation gives -1.934 eV per atom.

---

(4)
A plane-wave DFT calculation with PBE-GGA was carried out for crystalline PrMgZn2Cu2 at its relaxed geometry.

Cell: 4.3757 4.3757 6.7304 Å, 90.00 90.00 120.00°
Space group P-3m1 (No. 164)
Asymmetric unit:
Pr  0.0000  0.0000  0.0000
Mg  0.0000  0.0000  0.5000
Zn  0.3333  0.6667  0.2987
Cu  0.3333  0.6667  0.7020

Summary:
The energy of formation is -1.3 eV per formula unit. For the total energy, the calculation gives -3.076 eV per atom.

---

(5)
A plane-wave DFT calculation with PBE-GGA was carried out for crystalline PrMg2ZnCu2 at its relaxed geometry.

Cell: 4.990 4.990 10.663 Å, 90.00 90.00 90.00°
Space group I4/mmm (No. 139)
Asymmetric unit:
Pr  0.000  0.000  0.000
Mg  0.000  0.500  0.250
Zn  0.000  0.000  0.500
Cu  0.000  0.000  0.280

Summary:
The energy of formation is 0.3 eV per formula unit. For the total energy, the calculation gives -2.850 eV per atom.

---

(6)
A plane-wave DFT calculation with PBE-GGA was carried out for crystalline PrMgZnCu at its relaxed geometry.

Cell: 6.926 6.926 6.926 Å, 90.00 90.00 90.00°
Space group F-43m (No. 216)
Asymmetric unit:
Pr  0.000  0.000  0.000
Mg  0.000  0.000  0.500
Zn  0.250  0.250  0.250
Cu  0.250  0.250  0.750

Summary:
The energy of formation is -1.0 eV per formula unit. For the total energy, the calculation gives -3.181 eV per atom.

---

(7)
A plane-wave DFT calculation with PBE-GGA was carried out for crystalline Pr2MgZnCu6 at its relaxed geometry.

Cell: 12.202 5.070 8.646 Å, 90.00 134.49 90.00°
Space group C2/m (No. 12)
Asymmetric unit:
Pr  0.241  0.000  0.285
Mg  0.000  0.000  0.500
Zn  0.000  0.500  0.000
Cu  0.015  0.252  0.770
Cu  0.250  0.000  0.929

Summary:
The energy of formation is -0.8 eV per formula unit. For the total energy, the calculation gives -3.776 eV per atom.

---

(8)
A plane-wave DFT calculation with PBE-GGA was carried out for crystalline Pr2MgZn4Cu3 at its relaxed geometry.

Cell: 4.083 4.083 11.495 Å, 90.00 90.00 90.00°
Space group P-4m2 (No. 115)
Asymmetric unit:
Pr  0.000  0.500  0.235
Mg  0.000  0.000  0.500
Zn  0.000  0.000  0.000
Zn  0.000  0.500  0.649
Zn  0.500  0.500  0.000
Cu  0.000  0.500  0.867
Cu  0.500  0.500  0.500

Summary:
The energy of formation is -2.3 eV per formula unit. For the total energy, the calculation gives -3.082 eV per atom.

---

(9)
A plane-wave DFT calculation with PBE-GGA was carried out for crystalline Pr2MgZn3Cu12 at its relaxed geometry.

Cell: 8.2862 8.2862 17.0671 Å, 90.00 90.00 120.00°
Space group R-3m (No. 166, hexagonal axes)
Asymmetric unit:
Pr  0.0000  0.0000  0.0985
Mg  0.0000  0.0000  0.5000
Zn  0.0000  0.5000  0.0000
Cu  0.9999  0.4999  0.1463
Cu  0.0971  0.5485  0.4144

Summary:
The energy of formation is 5.0 eV per formula unit. For the total energy, the calculation gives -3.286 eV per atom.

---

(10)
A plane-wave DFT calculation with PBE-GGA was carried out for crystalline MgCu3Pt at its relaxed geometry.

Cell: 4.365 4.365 4.365 Å, 90.00 90.00 90.00°
Space group Pm-3m (No. 221)
Asymmetric unit:
Mg  0.000  0.000  0.000
Cu  0.000  0.000  0.500
Pt  0.500  0.500  0.500

Summary:
The energy of formation is 5.3 eV per formula unit. Its relative energy among the computed polymorphs is 485.8 meV/atom. For the total energy, the calculation gives -2.931 eV per atom.

---

(11)
A plane-wave DFT calculation with PBE-GGA was carried out for crystalline Mg2CuPt at its relaxed geometry.

Cell: 9.806 2.932 4.667 Å, 90.00 105.32 90.00°
Space group Cm (No. 8)
Asymmetric unit:
Mg  0.000  0.000  0.000
Mg  0.211  0.000  0.639
Cu  0.461  0.000  0.474
Pt  0.245  0.500  0.156

Summary:
The energy of formation is -1.8 eV per formula unit. For the total energy, the calculation gives -3.791 eV per atom.

---

(12)
A plane-wave DFT calculation with PBE-GGA was carried out for crystalline Mg2CuPt at its relaxed geometry.

Cell: 2.9409 2.9409 26.1347 Å, 90.00 90.00 120.00°
Space group R-3m (No. 166, hexagonal axes)
Asymmetric unit:
Mg  0.0000  0.0000  0.2503
Cu  0.0000  0.0000  0.5000
Pt  0.0000  0.0000  0.0000

Summary:
The energy of formation is -1.1 eV per formula unit. For the total energy, the calculation gives -3.603 eV per atom.

---

(13)
A plane-wave DFT calculation with PBE-GGA was carried out for crystalline MgCu2Pt at its relaxed geometry.

Cell: 3.859 3.859 7.614 Å, 90.00 90.00 90.00°
Space group I4/mmm (No. 139)
Asymmetric unit:
Mg  0.000  0.000  0.000
Cu  0.000  0.500  0.250
Pt  0.000  0.000  0.500

Summary:
The energy of formation is -1.4 eV per formula unit. For the total energy, the calculation gives -4.312 eV per atom.

---

(14)
A plane-wave DFT calculation with PBE-GGA was carried out for crystalline Mg4CuPt2 at its relaxed geometry.

Cell: 4.4974 4.4974 21.2659 Å, 90.00 90.00 120.00°
Space group R-3m (No. 166, hexagonal axes)
Asymmetric unit:
Mg  0.0000  0.0000  0.1168
Mg  0.0000  0.0000  0.3712
Cu  0.0000  0.0000  0.5000
Pt  0.0000  0.0000  0.2442

Summary:
The energy of formation is -4.2 eV per formula unit. For the total energy, the calculation gives -3.820 eV per atom.

---

(15)
A plane-wave DFT calculation with PBE-GGA was carried out for crystalline Mg2CuPt at its relaxed geometry.

Cell: 3.362 3.362 5.839 Å, 90.00 90.00 90.00°
Space group P4mm (No. 99)
Asymmetric unit:
Mg  0.000  0.000  0.000
Mg  0.500  0.500  0.321
Cu  0.500  0.500  0.778
Pt  0.000  0.000  0.535

Summary:
The energy of formation is -1.3 eV per formula unit. For the total energy, the calculation gives -3.665 eV per atom.

---

(16)
A plane-wave DFT calculation with PBE-GGA was carried out for crystalline Mg6Cu2Pt at its relaxed geometry.

Cell: 8.254 8.686 9.100 Å, 90.00 90.00 90.00°
Space group Immm (No. 71)
Asymmetric unit:
Mg  0.000  0.216  0.167
Mg  0.181  0.222  0.500
Mg  0.191  0.500  0.249
Cu  0.000  0.000  0.365
Cu  0.155  0.000  0.000
Pt  0.000  0.500  0.000
Pt  0.000  0.500  0.500

Summary:
The energy of formation is -2.6 eV per formula unit. For the total energy, the calculation gives -2.929 eV per atom.

---

(17)
A plane-wave DFT calculation with PBE-GGA was carried out for crystalline MgCuPt at its relaxed geometry.

Cell: 4.3013 4.3013 2.8097 Å, 90.00 90.00 120.00°
Space group P3m1 (No. 156)
Asymmetric unit:
Mg  0.0000  0.0000  0.0000
Cu  0.3333  0.6667  0.7000
Pt  0.6667  0.3333  0.4010

Summary:
The energy of formation is -1.3 eV per formula unit. Its relative energy among the computed polymorphs is 48.5 meV/atom. For the total energy, the calculation gives -4.332 eV per atom.

---

(18)
A plane-wave DFT calculation with PBE-GGA was carried out for crystalline MgCuPt at its relaxed geometry.

Cell: 2.874 3.800 8.217 Å, 90.00 90.00 90.00°
Space group Imm2 (No. 44)
Asymmetric unit:
Mg  0.000  0.000  0.000
Cu  0.000  0.000  0.327
Pt  0.000  0.000  0.667

Summary:
The energy of formation is -1.4 eV per formula unit. Its relative energy among the computed polymorphs is 0.0 meV/atom. For the total energy, the calculation gives -4.381 eV per atom.

---

(19)
A plane-wave DFT calculation with PBE-GGA was carried out for crystalline MgCu2Pt at its relaxed geometry.

Cell: 5.466 7.101 2.931 Å, 90.00 90.00 90.00°
Space group Cmmm (No. 65)
Asymmetric unit:
Mg  0.000  0.000  0.000
Cu  0.250  0.250  0.500
Pt  0.000  0.500  0.000

Summary:
The energy of formation is -1.0 eV per formula unit. For the total energy, the calculation gives -4.217 eV per atom.

---

(20)
A plane-wave DFT calculation with PBE-GGA was carried out for crystalline MgCu2Pt at its relaxed geometry.

Cell: 5.213 9.044 2.790 Å, 90.00 118.56 90.00°
Space group C2/m (No. 12)
Asymmetric unit:
Mg  0.000  0.000  0.000
Cu  0.250  0.250  0.500
Pt  0.000  0.500  0.000

Summary:
The energy of formation is -1.0 eV per formula unit. For the total energy, the calculation gives -4.206 eV per atom.